This record from the Alexandria database describes a relaxed structure of VOsIO2. The functional is PBE with a Hubbard U.

Properties
The final energy is -4.600 eV per atom. As for the density of states at the Fermi level: 2.5 states/eV/f.u. The value obtained for the energy relative to the lowest polymorph listed for this composition is 35.39 kcal/mol of atoms.

Lattice parameters (Å, degrees): 3.8494 5.8733 3.8494 90.00 90.00 90.00
With the nearest neighbours (Å) after each atom.
Atoms (fractional coordinates):
V  0.0000  0.5000  0.0000  4 Os 2.72, 2 I 2.94
O  0.0000  0.0000  0.5000  2 I 1.92
Os  0.5000  0.5000  0.5000  4 V 2.72
O  0.5000  0.0000  0.0000  2 I 1.92
I  0.0000  0.0000  0.0000  4 O 1.92